The following is a PBE-GGA calculation of an optimized crystal structure of Pm3SmIr2, from Alexandria.

The offset from the most stable computed form comes out at 0 meV per atom. Its energy of formation is -600 meV/atom. The crystal system is orthorhombic. The calculation puts the size of the total moment at 0.000 μB/f.u. The value obtained for the density of states at the Fermi level is 5.37 states/eV/f.u.

The space group is Pmc2_1 (No. 26) and the conventional cell measures 4.807, 8.952 and 7.340 Å, with angles of 90.00, 90.00 and 90.00 degrees. Symmetry generates all atoms from Pm at (0.000, 0.088, 0.000), Pm at (0.000, 0.338, 0.364), Pm at (0.500, 0.163, 0.645), Sm at (0.500, 0.412, 0.009), Ir at (0.000, 0.334, 0.762) and Ir at (0.500, 0.167, 0.247).

***

The following is a PBE-GGA calculation of an optimized crystal structure of PmSmSnIr, from Alexandria.

Its energy of formation is -514 meV/atom. The crystal system is cubic. The calculation puts the size of the total moment at 0.000 μB/f.u. The value obtained for the density of states at the Fermi level is 3.05 states/eV/f.u.

The space group is F-43m (No. 216) and the conventional cell measures 7.373, 7.373 and 7.373 Å, with angles of 90.00, 90.00 and 90.00 degrees. Symmetry generates all atoms from Pm at (0.000, 0.000, 0.000), Sm at (0.000, 0.000, 0.500), Sn at (0.250, 0.250, 0.750) and Ir at (0.250, 0.250, 0.250).

***

The following is a PBE-GGA calculation of an optimized crystal structure of PmSmZnIr, from Alexandria.

The offset from the most stable computed form comes out at 25 meV per atom. Its energy of formation is -518 meV/atom. The crystal system is cubic. The calculation puts the size of the total moment at 0.000 μB/f.u. The value obtained for the density of states at the Fermi level is 1.66 states/eV/f.u.

The space group is F-43m (No. 216) and the conventional cell measures 7.142, 7.142 and 7.142 Å, with angles of 90.00, 90.00 and 90.00 degrees. Symmetry generates all atoms from Pm at (0.000, 0.000, 0.000), Sm at (0.000, 0.000, 0.500), Zn at (0.250, 0.250, 0.750) and Ir at (0.250, 0.250, 0.250).

***

The following is a PBE-GGA calculation of an optimized crystal structure of PmSmZnIr, from Alexandria.

The offset from the most stable computed form comes out at 0 meV per atom. Its energy of formation is -543 meV/atom. The crystal system is orthorhombic. The calculation puts the size of the total moment at 0.000 μB/f.u. The value obtained for the density of states at the Fermi level is 2.96 states/eV/f.u.

The space group is Amm2 (No. 38) and the conventional cell measures 4.409, 4.013 and 10.832 Å, with angles of 90.00, 90.00 and 90.00 degrees. Symmetry generates all atoms from Pm at (0.000, 0.000, 0.000), Sm at (0.500, 0.000, 0.723), Zn at (0.000, 0.000, 0.291) and Ir at (0.500, 0.000, 0.432).

***

The following is a PBE-GGA calculation of an optimized crystal structure of Pm12SnIr6, from Alexandria.

Its energy of formation is -545 meV/atom. The crystal system is cubic. The calculation puts the size of the total moment at 0.000 μB/f.u. The value obtained for the density of states at the Fermi level is 7.45 states/eV/f.u.

The space group is Im-3 (No. 204) and the conventional cell measures 10.220, 10.220 and 10.220 Å, with angles of 90.00, 90.00 and 90.00 degrees. Symmetry generates all atoms from Pm at (0.000, 0.191, 0.303), Sn at (0.000, 0.000, 0.000) and Ir at (0.000, 0.376, 0.500).

***

The following is a PBE-GGA calculation of an optimized crystal structure of Pm3Sn4Ir2, from Alexandria.

The offset from the most stable computed form comes out at 38 meV per atom. Its energy of formation is -639 meV/atom. The crystal system is monoclinic. The calculation puts the size of the total moment at 0.000 μB/f.u. The value obtained for the density of states at the Fermi level is 4.11 states/eV/f.u.

The space group is C2/m (No. 12) and the conventional cell measures 11.329, 4.703 and 9.062 Å, with angles of 90.00, 112.83 and 90.00 degrees. Symmetry generates all atoms from Pm at (0.000, 0.000, 0.000), Pm at (0.184, 0.500, 0.623), Sn at (0.016, 0.000, 0.348), Sn at (0.225, 0.500, 0.084) and Ir at (0.095, 0.500, 0.276).

***

The following is a PBE-GGA calculation of an optimized crystal structure of Pm5SnIr, from Alexandria.

Its energy of formation is -340 meV/atom. The crystal system is monoclinic. The calculation puts the size of the total moment at 0.000 μB/f.u. The value obtained for the density of states at the Fermi level is 7.22 states/eV/f.u.

The space group is C2/c (No. 15) and the conventional cell measures 10.899, 7.118 and 11.619 Å, with angles of 90.00, 106.63 and 90.00 degrees. Symmetry generates all atoms from Pm at (0.000, 0.018, 0.250), Pm at (0.122, 0.338, 0.042), Pm at (0.219, 0.194, 0.641), Sn at (0.000, 0.469, 0.750) and Ir at (0.000, 0.000, 0.000).

***

The following is a PBE-GGA calculation of an optimized crystal structure of PmSn2Ir, from Alexandria.

The offset from the most stable computed form comes out at 301 meV per atom. Its energy of formation is -360 meV/atom. The crystal system is tetragonal. The calculation puts the size of the total moment at 0.000 μB/f.u. The value obtained for the density of states at the Fermi level is 1.36 states/eV/f.u.

The space group is P4/mmm (No. 123) and the conventional cell measures 4.442, 4.442 and 4.543 Å, with angles of 90.00, 90.00 and 90.00 degrees. Symmetry generates all atoms from Pm at (0.000, 0.000, 0.000), Sn at (0.000, 0.500, 0.500) and Ir at (0.500, 0.500, 0.000).